Entry 1:
A plane-wave DFT calculation with GGA-PBEsol was carried out for a relaxed Mg2TeMo crystal.

Summary:
The density of states at the Fermi level is 4.13 states/eV/cell. For the energy, the calculation gives -0.16079 hartree per atom.

Cell and atoms, written as POSCAR:
```
Mg2TeMo
1.0
2.825 -4.497 0.000
2.825 4.497 0.000
0.000 0.000 3.047
Mg Te Mo
2 1 1
direct
0.000 0.500 0.000 Mg
0.500 0.000 0.000 Mg
0.000 0.000 0.500 Te
0.500 0.500 0.500 Mo
```



Entry 2:
A plane-wave DFT calculation with GGA-PBEsol was carried out for a relaxed Ta2OsPb crystal.

Summary:
The density of states at the Fermi level is 3.42 states/eV/cell. For the energy, the calculation gives -0.36566 hartree per atom.

Cell and atoms, written as POSCAR:
```
Ta2OsPb
1.0
4.080 0.000 0.000
0.000 4.080 0.000
0.000 0.000 4.219
Ta Os Pb
2 1 1
direct
0.000 0.500 0.000 Ta
0.500 0.000 0.000 Ta
0.000 0.000 0.500 Os
0.500 0.500 0.500 Pb
```



no.,spin magnetization (μB per atom)
1,0.000
2,0.000